Entry from Alexandria: a relaxed structure of Th2Hg (PBE-GGA).

Results
* SG: C2/c
* size of the total moment: 0.0 μB per formula unit
* calculated formation energy: -0.08 eV/atom

Unit cell a=6.527 b=6.527 c=5.876 alpha=103.45 beta=103.45 gamma=125.64
Element x y z (fractional)
Th 0.201 0.452 0.902
Th 0.548 0.799 0.598
Th 0.799 0.548 0.098
Th 0.452 0.201 0.402
Hg 0.125 0.875 0.750
Hg 0.875 0.125 0.250